(one)
{"formula": "UBe", "functional": "GGA-PBE", "state": "relaxed", "crystal_system": "monoclinic", "lattice_angstrom": [[-1.156, -2.198, -3.132], [4.786, -3.073, 0.390], [-1.017, -1.114, 3.704]], "species": ["Be", "U", "Be", "U"], "frac_coords": [[0.667, 0.750, 0.334], [0.000, 0.500, 0.000], [0.333, 0.250, 0.666], [0.000, 0.000, 0.000]]}


(two)
{"formula": "UBe", "functional": "GGA-PBE", "state": "relaxed", "crystal_system": "hexagonal", "lattice_angstrom": [[2.783, 0.000, 0.000], [-1.392, 2.410, 0.000], [0.000, 0.000, 4.820]], "species": ["U", "Be"], "frac_coords": [[0.333, 0.667, 0.250], [0.667, 0.333, 0.750]]}


The relative energies come out as (one) 587; (two) 0, with values in meV per atom.


(one)
{"formula": "UBe", "functional": "GGA-PBE", "state": "relaxed", "crystal_system": "cubic", "lattice_angstrom": [[0.000, 2.853, 2.853], [2.853, 0.000, 2.853], [2.853, 2.853, 0.000]], "species": ["Be", "U"], "frac_coords": [[0.000, 0.000, 0.000], [0.250, 0.250, 0.250]]}


(two)
{"formula": "UBe", "functional": "GGA-PBE", "state": "relaxed", "crystal_system": "cubic", "lattice_angstrom": [[0.000, 2.611, 2.611], [2.611, 0.000, 2.611], [2.611, 2.611, 0.000]], "species": ["Be", "U"], "frac_coords": [[0.000, 0.000, 0.000], [0.500, 0.500, 0.500]]}


(three)
{"formula": "UBe", "functional": "GGA-PBE", "state": "relaxed", "crystal_system": "hexagonal", "lattice_angstrom": [[-2.679, 2.780, 2.090], [-1.461, -2.274, -3.459], [-1.165, -2.948, 2.430]], "species": ["Be", "Be", "U", "U"], "frac_coords": [[0.000, 0.000, 0.500], [0.000, 0.000, 0.000], [0.667, 0.333, 0.250], [0.333, 0.667, 0.750]]}


The relative energies come out as (one) 1564; (two) 679; (three) 0, with values in meV per atom.